[1]
La2Y after structural relaxation. Source: the Alexandria database, functional PBE.

Computed properties:
DOS at the Fermi energy	18.584	states/eV/cell
polymorph energy (0 for the lowest one)	3	meV per atom
ΔE_f	17	meV/atom
spin magnetization	0.00	μB per atom
volume	35.3	Å³/atom

Unit cell a=7.3002 b=5.2399 c=11.0734 alpha=90.00 beta=90.00 gamma=90.00
With the nearest neighbours (Å) after each atom.
Sites, in units of the cell vectors:
La 0.6235 0.2500 0.9173  5 Y 3.63-3.72, 7 La 3.67-3.71
La 0.1210 0.2500 0.2493  7 La 3.65-3.71, 5 Y 3.66-3.71
La 0.8765 0.7500 0.4173  5 Y 3.63-3.72, 7 La 3.67-3.71
La 0.3765 0.7500 0.0827  5 Y 3.63-3.72, 7 La 3.67-3.71
La 0.6210 0.2500 0.2507  7 La 3.65-3.71, 5 Y 3.66-3.71
La 0.3790 0.7500 0.7493  7 La 3.65-3.71, 5 Y 3.66-3.71
La 0.8790 0.7500 0.7507  7 La 3.65-3.71, 5 Y 3.66-3.71
La 0.1235 0.2500 0.5827  5 Y 3.63-3.72, 7 La 3.67-3.71
Y 0.3731 0.7500 0.4186  10 La 3.63-3.72, 2 Y 3.68
Y 0.6269 0.2500 0.5814  10 La 3.63-3.72, 2 Y 3.68
Y 0.1269 0.2500 0.9186  10 La 3.63-3.72, 2 Y 3.68
Y 0.8731 0.7500 0.0814  10 La 3.63-3.72, 2 Y 3.68

[2]
LiPm2C2N6 after structural relaxation. Source: the Alexandria database, functional PBE.

Computed properties:
DOS at the Fermi energy	3.504	states/eV/cell
spin magnetization	0.09	μB per atom
formation energy (no corrections)	-338	kJ/mol of formula units
volume	15.8	Å³/atom

Unit cell a=6.7482 b=5.8045 c=6.3103 alpha=114.35 beta=89.93 gamma=54.49
With the nearest neighbours (Å) after each atom.
Sites, in units of the cell vectors:
N 0.1087 0.7820 0.6242  1 C 1.34
N 0.4319 0.4639 0.7663  1 C 1.35
N 0.5681 0.5361 0.2337  1 C 1.35
N 0.8913 0.2180 0.3758  1 C 1.34
N 0.8932 0.5392 0.2348  1 C 1.35
N 0.1068 0.4608 0.7652  1 C 1.35
C 0.7884 0.4227 0.2880  3 N 1.34-1.35
C 0.2116 0.5773 0.7120  3 N 1.34-1.35
Pm 0.8283 0.3438 0.8121  4 N 2.29-2.50
Pm 0.1717 0.6562 0.1879  4 N 2.29-2.50
Li 0.5000 0.0000 0.5000  4 N 2.25-2.26, 2 C 2.35

[3]
CdCo2Pb after structural relaxation. Source: the Alexandria database, functional PBE.

Computed properties:
DOS at the Fermi energy	3.490	states/eV/cell
polymorph energy (0 for the lowest one)	158	meV per atom
ΔE_f	460	meV/atom
spin magnetization	0.88	μB per atom
volume	19.3	Å³/atom

Unit cell a=8.7994 b=8.7994 c=8.7994 alpha=21.08 beta=21.08 gamma=21.08
With the nearest neighbours (Å) after each atom.
Sites, in units of the cell vectors:
Co 0.9851 0.9851 0.9851  3 Co 2.26
Co 0.2684 0.2684 0.2684  3 Co 2.26
Pb 0.5131 0.5131 0.5131  3 Co 2.95, 6 Pb 3.22
Cd 0.7334 0.7334 0.7334  3 Co 2.81

[4]
CuHPd3 after structural relaxation. Source: the Alexandria database, functional PBE.

Computed properties:
DOS at the Fermi energy	4.258	states/eV/cell
polymorph energy (0 for the lowest one)	13	meV per atom
spin magnetization	0.00	μB per atom
volume	12.3	Å³/atom

Unit cell a=4.8641 b=5.5530 c=4.8639 alpha=90.00 beta=110.48 gamma=90.00
With the nearest neighbours (Å) after each atom.
Sites, in units of the cell vectors:
Pd 0.7465 0.7500 0.7536  1 H 1.88
Pd 0.2525 0.0000 0.7524  2 H 1.98
Pd 0.7475 0.5000 0.2476  2 H 1.98
Pd 0.7475 0.0000 0.2476  2 H 1.98
Pd 0.2535 0.2500 0.2464  1 H 1.88
Pd 0.2525 0.5000 0.7524  2 H 1.98
H 0.0180 0.2500 0.4816  5 Pd 1.88-1.98
H 0.9820 0.7500 0.5184  5 Pd 1.88-1.98
Cu 0.2549 0.7500 0.2451  1 H 2.18
Cu 0.7451 0.2500 0.7549  1 H 2.18

[5]
LiPmHgF6 after structural relaxation. Source: the Alexandria database, functional PBE.

Computed properties:
DOS at the Fermi energy	0.000	states/eV/cell
spin magnetization	0.00	μB per atom
formation energy (no corrections)	-2502	kJ/mol of formula units
volume	15.7	Å³/atom

Unit cell a=5.1728 b=5.1728 c=10.5499 alpha=90.00 beta=90.00 gamma=90.00
With the nearest neighbours (Å) after each atom.
Sites, in units of the cell vectors:
F 0.2883 0.2883 0.3270  1 Li 2.11, 1 Pm 2.28
F 0.6900 0.6900 0.6799  1 Li 2.10, 1 Pm 2.27
F 0.3130 0.3130 0.9946  1 Li 2.22, 1 Hg 2.29, 1 Pm 2.29
F 0.8100 0.1900 0.1799  1 Li 2.10, 1 Pm 2.27
F 0.7117 0.7117 0.3270  1 Li 2.11, 1 Pm 2.28
F 0.6870 0.6870 0.9946  1 Li 2.22, 1 Hg 2.29, 1 Pm 2.29
F 0.1900 0.8100 0.1799  1 Li 2.10, 1 Pm 2.27
F 0.7883 0.2117 0.8270  1 Li 2.11, 1 Pm 2.28
F 0.1870 0.8130 0.4946  1 Li 2.22, 1 Hg 2.29, 1 Pm 2.29
F 0.8130 0.1870 0.4946  1 Li 2.22, 1 Hg 2.29, 1 Pm 2.29
F 0.2117 0.7883 0.8270  1 Li 2.11, 1 Pm 2.28
F 0.3100 0.3100 0.6799  1 Li 2.10, 1 Pm 2.27
Pm 0.5000 0.5000 0.1690  6 F 2.27-2.29
Pm 0.0000 0.0000 0.6690  6 F 2.27-2.29
Li 0.0000 0.0000 0.3290  6 F 2.10-2.22
Li 0.5000 0.5000 0.8290  6 F 2.10-2.22
Hg 0.5000 0.5000 0.4991  6 F 2.29-2.39
Hg 0.0000 0.0000 0.9991  6 F 2.29-2.39

[6]
Co2MoRu after structural relaxation. Source: the Alexandria database, functional PBE.

Computed properties:
DOS at the Fermi energy	5.487	states/eV/cell
polymorph energy (0 for the lowest one)	131	meV per atom
ΔE_f	141	meV/atom
spin magnetization	0.66	μB per atom
volume	12.9	Å³/atom

Unit cell a=2.6799 b=2.6799 c=7.1768 alpha=90.00 beta=90.00 gamma=89.99
With the nearest neighbours (Å) after each atom.
Sites, in units of the cell vectors:
Co 0.0000 0.0000 0.0132  8 Co 2.46-2.68, 4 Ru 2.58
Co 0.5000 0.5000 0.2319  8 Co 2.46-2.68, 4 Mo 2.63
Ru 0.5000 0.5000 0.7696  4 Co 2.58, 4 Ru 2.68, 4 Mo 2.78-2.79
Mo 0.0000 0.0000 0.4852  4 Co 2.63, 4 Mo 2.68, 4 Ru 2.78-2.79

[7]
Ca2AgSnSe4 after structural relaxation. Source: the Alexandria database, functional PBE.

Computed properties:
DOS at the Fermi energy	5.613	states/eV/cell
spin magnetization	0.00	μB per atom
formation energy (no corrections)	-798	kJ/mol of formula units
volume	25.6	Å³/atom

Unit cell a=4.1643 b=7.2794 c=7.1725 alpha=109.77 beta=90.00 gamma=90.00
With the nearest neighbours (Å) after each atom.
Sites, in units of the cell vectors:
Se 0.0000 0.7452 0.2509  3 Ca 2.92-2.95, 2 Sn 2.93, 1 Ag 2.99
Se 0.0000 0.2548 0.7491  3 Ca 2.92-2.95, 2 Sn 2.93, 1 Ag 2.99
Se 0.5000 0.2499 0.2378  1 Sn 2.88, 2 Ag 2.91, 3 Ca 2.98-3.03
Se 0.5000 0.7501 0.7622  1 Sn 2.88, 2 Ag 2.91, 3 Ca 2.98-3.03
Ag 0.0000 0.0000 0.0000  6 Se 2.91-2.99
Sn 0.5000 0.5000 0.0000  6 Se 2.88-2.93
Ca 0.5000 0.0000 0.5000  6 Se 2.95-3.03
Ca 0.0000 0.5000 0.5000  6 Se 2.92-2.98

[8]
CaMnTc2 after structural relaxation. Source: the Alexandria database, functional PBE.

Computed properties:
DOS at the Fermi energy	3.817	states/eV/cell
polymorph energy (0 for the lowest one)	261	meV per atom
ΔE_f	586	meV/atom
spin magnetization	0.46	μB per atom
volume	16.5	Å³/atom

Unit cell a=9.1913 b=9.1913 c=9.1913 alpha=18.15 beta=18.15 gamma=18.15
With the nearest neighbours (Å) after each atom.
Sites, in units of the cell vectors:
Mn 0.7500 0.7500 0.7500  6 Tc 2.55
Tc 0.0122 0.0122 0.0122  3 Mn 2.55
Tc 0.4878 0.4878 0.4878  3 Mn 2.55
Ca 0.2500 0.2500 0.2500  6 Ca 2.90, 6 Tc 3.08